# Rb2BiI5 | Alexandria | PBE | optimized geometry
data_Rb2BiI5
_cell_length_a 7.331
_cell_length_b 8.795
_cell_length_c 9.384
_cell_angle_alpha 66.12
_cell_angle_beta 67.06
_cell_angle_gamma 65.37
_space_group_name_H-M_alt 'P 1'
_space_group_IT_number 1
_space_group_name_Hall 'P 1'
loop_
_atom_site_label
_atom_site_fract_x
_atom_site_fract_y
_atom_site_fract_z
Rb1 0.000 0.000 0.000
Rb2 0.433 0.656 0.479
Bi1 0.195 0.327 0.240
I1 0.286 0.078 0.562
I2 0.356 0.578 0.917
I3 0.447 0.021 0.086
I4 0.793 0.325 0.242
I5 0.987 0.634 0.393
# - Calculated volume: 60.605 Å³ per atom
# - Final energy: -21.2 eV for the cell shown
# - Energy above the lowest structure with this stoichiometry: 0.0 meV/atom